(1)
An optimized crystal structure of CeSm10Tm4. Source: Alexandria via LeMat-Bulk, functional PBE.

It has space group I4/m (No. 87), with a = 9.734 Å, b = 9.734 Å, c = 10.621 Å, α = 90.00°, β = 90.00° and γ = 90.00°. Symmetry generates all atoms from Ce at (0.000, 0.000, 0.000), Sm at (0.000, 0.500, 0.250), Sm at (0.115, 0.215, 0.344) and Tm at (0.064, 0.334, 0.000).

Its volume is 33.55 Å³ per atom. As for the total moment: 1.23 μB/f.u. Its crystal system is tetragonal. The formation energy is 7.80 kcal/mol of atoms.



(2)
An optimized crystal structure of K2SiBr4. Source: Alexandria via LeMat-Bulk, functional PBE.

It has space group I4/mmm (No. 139), with a = 5.390 Å, b = 5.390 Å, c = 16.734 Å, α = 90.00°, β = 90.00° and γ = 90.00°. Symmetry generates all atoms from K at (0.000, 0.000, 0.140), Si at (0.000, 0.000, 0.500), Br at (0.000, 0.000, 0.335) and Br at (0.000, 0.500, 0.000).

Its volume is 34.72 Å³ per atom. As for the total moment: 0.00 μB/f.u. As for the final energy: -3.160 eV per atom. Its crystal system is tetragonal.



(3)
An optimized crystal structure of Pa2B7Ru12. Source: Alexandria via LeMat-Bulk, functional PBE.

It has space group P-6 (No. 174), with a = 8.9874 Å, b = 8.9874 Å, c = 3.7785 Å, α = 90.00°, β = 90.00° and γ = 120.00°. Symmetry generates all atoms from Pa at (0.0000, 0.0000, 0.0000), Pa at (0.3333, 0.6667, 0.5000), B at (0.0708, 0.4260, 0.0000), B at (0.2805, 0.2332, 0.5000), B at (0.6667, 0.3333, 0.0000), Ru at (0.0581, 0.2783, 0.5000), Ru at (0.1061, 0.6870, 0.0000), Ru at (0.3925, 0.1829, 0.0000) and Ru at (0.5514, 0.4283, 0.5000).

Its volume is 12.59 Å³ per atom. As for the total moment: 0.00 μB/f.u. Its crystal system is hexagonal. The formation energy is -5.49 kcal/mol of atoms.



(4)
An optimized crystal structure of Tl2Zn2Sb. Source: Alexandria via LeMat-Bulk, functional PBE.

It has space group I4/mmm (No. 139), with a = 3.592 Å, b = 3.592 Å, c = 20.578 Å, α = 90.00°, β = 90.00° and γ = 90.00°. Symmetry generates all atoms from Tl at (0.000, 0.000, 0.111), Zn at (0.000, 0.500, 0.250) and Sb at (0.000, 0.000, 0.500).

Its volume is 26.55 Å³ per atom. The polymorph energy (0 for the lowest one) comes out at 85 meV/atom. As for the total moment: 0.00 μB/f.u. Its crystal system is tetragonal.



(5)
An optimized crystal structure of Te3P4. Source: Alexandria via LeMat-Bulk, functional PBE.

It has space group P6/mmm (No. 191), with a = 6.8809 Å, b = 6.8809 Å, c = 4.2084 Å, α = 90.00°, β = 90.00° and γ = 120.00°. Symmetry generates all atoms from Te at (0.0000, 0.5000, 0.0000), P at (0.0000, 0.0000, 0.2648) and P at (0.3333, 0.6667, 0.5000).

Its volume is 24.65 Å³ per atom. As for the total moment: 0.00 μB/f.u. As for the final energy: -3.771 eV per atom. Its crystal system is hexagonal.



(6)
An optimized crystal structure of KNpRhSe3. Source: Alexandria via LeMat-Bulk, functional PBE.

It has space group P2_1/m (No. 11), with a = 8.962 Å, b = 4.116 Å, c = 9.589 Å, α = 90.00°, β = 107.75° and γ = 90.00°. Symmetry generates all atoms from K at (0.199, 0.250, 0.241), Np at (0.320, 0.750, 0.844), Rh at (0.083, 0.250, 0.590), Se at (0.116, 0.250, 0.863), Se at (0.208, 0.750, 0.536) and Se at (0.456, 0.750, 0.158).

Its volume is 28.07 Å³ per atom. As for the total moment: 3.37 μB/f.u. As for the final energy: -6.255 eV per atom. Its crystal system is monoclinic.



(7)
An optimized crystal structure of Tm2HfFe. Source: Alexandria via LeMat-Bulk, functional PBE.

It has space group R-3m (No. 166, hexagonal axes), with a = 3.2242 Å, b = 3.2242 Å, c = 30.7912 Å, α = 90.00°, β = 90.00° and γ = 120.00°. Symmetry generates all atoms from Tm at (0.0000, 0.0000, 0.1030), Hf at (0.0000, 0.0000, 0.0000) and Fe at (0.0000, 0.0000, 0.5000).

Its volume is 23.10 Å³ per atom. As for the total moment: 1.13 μB/f.u. Its crystal system is trigonal. The formation energy is 10.42 kcal/mol of atoms.



(8)
An optimized crystal structure of SrSc2Mn. Source: Alexandria via LeMat-Bulk, functional PBE.

It has space group Fm-3m (No. 225), with a = 7.068 Å, b = 7.068 Å, c = 7.068 Å, α = 90.00°, β = 90.00° and γ = 90.00°. Symmetry generates all atoms from Sr at (0.000, 0.000, 0.000), Sc at (0.250, 0.250, 0.250) and Mn at (0.000, 0.000, 0.500).

Its volume is 22.06 Å³ per atom. The polymorph energy (0 for the lowest one) comes out at 482 meV/atom. As for the total moment: 0.00 μB/f.u. Its crystal system is cubic. The formation energy is 15.80 kcal/mol of atoms.



(9)
An optimized crystal structure of SrNiN3. Source: Alexandria via LeMat-Bulk, functional PBE.

It has space group Pm-3m (No. 221), with a = 4.619 Å, b = 4.619 Å, c = 4.619 Å, α = 90.00°, β = 90.00° and γ = 90.00°. Symmetry generates all atoms from Sr at (0.000, 0.000, 0.000), Ni at (0.500, 0.500, 0.500) and N at (0.000, 0.000, 0.500).

Its volume is 19.71 Å³ per atom. As for the total moment: 5.39 μB/f.u. As for the final energy: -3.750 eV per atom. Its crystal system is cubic.



(10)
An optimized crystal structure of SrAs2S4. Source: Alexandria via LeMat-Bulk, functional PBE.

It has space group Cc (No. 9), with a = 11.777 Å, b = 9.414 Å, c = 8.943 Å, α = 90.00°, β = 129.49° and γ = 90.00°. Symmetry generates all atoms from Sr at (0.000, 0.125, 0.000), As at (0.036, 0.480, 0.234), As at (0.308, 0.240, 0.844), S at (0.177, 0.390, 0.170), S at (0.304, 0.007, 0.919), S at (0.462, 0.349, 0.132) and S at (0.491, 0.238, 0.803).

Its volume is 27.33 Å³ per atom. As for the total moment: 0.00 μB/f.u. As for the final energy: -4.584 eV per atom. Its crystal system is monoclinic.



(11)
An optimized crystal structure of MnV4Mo3. Source: Alexandria via LeMat-Bulk, functional PBE.

It has space group P4/mmm (No. 123), with a = 3.027 Å, b = 3.027 Å, c = 12.146 Å, α = 90.00°, β = 90.00° and γ = 90.00°. Symmetry generates all atoms from Mn at (0.000, 0.000, 0.000), V at (0.500, 0.500, 0.116), V at (0.500, 0.500, 0.371), Mo at (0.000, 0.000, 0.244) and Mo at (0.000, 0.000, 0.500).

Its volume is 13.91 Å³ per atom. As for the total moment: 0.00 μB/f.u. Its crystal system is tetragonal. The formation energy is -3.16 kcal/mol of atoms.



(12)
An optimized crystal structure of Ac4Br. Source: Alexandria via LeMat-Bulk, functional PBE.

It has space group Pm-3m (No. 221), with a = 6.063 Å, b = 6.063 Å, c = 6.063 Å, α = 90.00°, β = 90.00° and γ = 90.00°. Symmetry generates all atoms from Ac at (0.000, 0.000, 0.000), Ac at (0.000, 0.500, 0.500) and Br at (0.500, 0.500, 0.500).

Its volume is 44.57 Å³ per atom. As for the total moment: 0.00 μB/f.u. As for the final energy: -3.970 eV per atom. Its crystal system is cubic.



(13)
An optimized crystal structure of AcZrCd2. Source: Alexandria via LeMat-Bulk, functional PBE.

It has space group R-3m (No. 166, hexagonal axes), with a = 3.5893 Å, b = 3.5893 Å, c = 30.6422 Å, α = 90.00°, β = 90.00° and γ = 120.00°. Symmetry generates all atoms from Ac at (0.0000, 0.0000, 0.0000), Zr at (0.0000, 0.0000, 0.5000) and Cd at (0.0000, 0.0000, 0.2402).

Its volume is 28.49 Å³ per atom. The polymorph energy (0 for the lowest one) comes out at 200 meV/atom. As for the total moment: 0.00 μB/f.u. Its crystal system is trigonal. The formation energy is 2.47 kcal/mol of atoms.



(14)
An optimized crystal structure of BaY3Sc. Source: Alexandria via LeMat-Bulk, functional PBE.

It has space group Pm-3m (No. 221), with a = 5.648 Å, b = 5.648 Å, c = 5.648 Å, α = 90.00°, β = 90.00° and γ = 90.00°. Symmetry generates all atoms from Ba at (0.000, 0.000, 0.000), Y at (0.000, 0.000, 0.500) and Sc at (0.500, 0.500, 0.500).

Its volume is 36.04 Å³ per atom. The polymorph energy (0 for the lowest one) comes out at 594 meV/atom. As for the total moment: 0.00 μB/f.u. Its crystal system is cubic. The formation energy is 24.25 kcal/mol of atoms.



(15)
An optimized crystal structure of TaCdTc. Source: Alexandria via LeMat-Bulk, functional PBE.

It has space group F-43m (No. 216), with a = 6.282 Å, b = 6.282 Å, c = 6.282 Å, α = 90.00°, β = 90.00° and γ = 90.00°. Symmetry generates all atoms from Ta at (0.000, 0.000, 0.000), Cd at (0.000, 0.000, 0.500) and Tc at (0.250, 0.250, 0.250).

Its volume is 20.66 Å³ per atom. The polymorph energy (0 for the lowest one) comes out at 604 meV/atom. As for the total moment: 0.00 μB/f.u. Its crystal system is cubic. The formation energy is 15.53 kcal/mol of atoms.



(16)
An optimized crystal structure of Hg2POs. Source: Alexandria via LeMat-Bulk, functional PBE.

It has space group Cmmm (No. 65), with a = 2.832 Å, b = 5.097 Å, c = 10.326 Å, α = 90.00°, β = 90.00° and γ = 90.00°. Symmetry generates all atoms from Hg at (0.000, 0.000, 0.242), P at (0.000, 0.500, 0.500) and Os at (0.000, 0.500, 0.000).

Its volume is 18.63 Å³ per atom. As for the total moment: 0.00 μB/f.u. Its crystal system is orthorhombic. The formation energy is 20.76 kcal/mol of atoms.



(17)
An optimized crystal structure of Cs2RbHfCl6. Source: Alexandria via LeMat-Bulk, functional PBE.

It has space group Fm-3m (No. 225), with a = 11.309 Å, b = 11.309 Å, c = 11.309 Å, α = 90.00°, β = 90.00° and γ = 90.00°. Symmetry generates all atoms from Cs at (0.250, 0.250, 0.250), Rb at (0.000, 0.000, 0.000), Hf at (0.000, 0.000, 0.500) and Cl at (0.000, 0.000, 0.277).

Its volume is 36.16 Å³ per atom. As for the total moment: 1.00 μB/f.u. As for the final energy: -4.216 eV per atom. Its crystal system is cubic.



(18)
An optimized crystal structure of YTm5Sc2. Source: Alexandria via LeMat-Bulk, functional PBE.

It has space group Pbam (No. 55), with a = 6.886 Å, b = 13.775 Å, c = 4.857 Å, α = 90.00°, β = 90.00° and γ = 90.00°. Symmetry generates all atoms from Y at (0.000, 0.000, 0.000), Tm at (0.000, 0.500, 0.000), Tm at (0.001, 0.251, 0.000), Tm at (0.248, 0.626, 0.500) and Sc at (0.250, 0.374, 0.500).

Its volume is 28.79 Å³ per atom. The polymorph energy (0 for the lowest one) comes out at 28 meV/atom. As for the total moment: 0.00 μB/f.u. Its crystal system is orthorhombic. The formation energy is 1.08 kcal/mol of atoms.



(19)
An optimized crystal structure of MgCrSb. Source: Alexandria via LeMat-Bulk, functional PBE.

It has space group Cm (No. 8), with a = 14.247 Å, b = 4.481 Å, c = 4.295 Å, α = 90.00°, β = 98.57° and γ = 90.00°. Symmetry generates all atoms from Mg at (0.000, 0.000, 0.000), Mg at (0.190, 0.500, 0.114), Cr at (0.377, 0.299, 0.435), Sb at (0.045, 0.500, 0.529) and Sb at (0.300, 0.000, 0.898).

Its volume is 22.59 Å³ per atom. As for the total moment: 0.00 μB/f.u. As for the final energy: -4.916 eV per atom. Its crystal system is monoclinic.



(20)
An optimized crystal structure of Cd4Ag4Sn. Source: Alexandria via LeMat-Bulk, functional PBE.

It has space group I4/mmm (No. 139), with a = 9.442 Å, b = 9.442 Å, c = 4.108 Å, α = 90.00°, β = 90.00° and γ = 90.00°. Symmetry generates all atoms from Cd at (0.000, 0.329, 0.000), Ag at (0.171, 0.171, 0.500) and Sn at (0.000, 0.000, 0.000).

Its volume is 20.35 Å³ per atom. The polymorph energy (0 for the lowest one) comes out at 0 meV/atom. As for the total moment: 0.00 μB/f.u. Its crystal system is tetragonal. The formation energy is -0.02 kcal/mol of atoms.